Er7Tm2In, optimized geometry, DFT PBE; space-group type = No. 65; electronic total energy = -3.761 eV/atom; energy relative to the elements = 601 meV per atom
1.0
4.3040 -8.0607 0.0000
4.3040 8.0607 0.0000
0.0000 0.0000 5.2504
Er Tm In
7 2 1
direct
0.0000 0.0000 0.0000 Er
0.2163 0.4287 0.0000 Er
0.3013 0.6987 0.5000 Er
0.4287 0.2163 0.0000 Er
0.5713 0.7837 0.0000 Er
0.6987 0.3013 0.5000 Er
0.7837 0.5713 0.0000 Er
0.2074 0.7926 0.0000 Tm
0.7926 0.2074 0.0000 Tm
0.5000 0.5000 0.5000 In


Er15TmIn4, optimized geometry, DFT PBE; space-group type = No. 123; electronic total energy = -4.393 eV/atom; energy relative to the elements = -199 meV per atom
1.0
4.8151 0.0000 0.0000
0.0000 4.8151 0.0000
0.0000 0.0000 24.4017
Er Tm In
15 1 4
direct
0.0000 0.0000 0.0000 Er
0.0000 0.0000 0.2042 Er
0.0000 0.0000 0.4015 Er
0.0000 0.0000 0.5985 Er
0.0000 0.0000 0.7958 Er
0.0000 0.5000 0.1039 Er
0.0000 0.5000 0.3028 Er
0.0000 0.5000 0.5000 Er
0.0000 0.5000 0.6972 Er
0.0000 0.5000 0.8961 Er
0.5000 0.0000 0.1039 Er
0.5000 0.0000 0.3028 Er
0.5000 0.0000 0.5000 Er
0.5000 0.0000 0.6972 Er
0.5000 0.0000 0.8961 Er
0.5000 0.5000 0.0000 Tm
0.5000 0.5000 0.2053 In
0.5000 0.5000 0.4015 In
0.5000 0.5000 0.5985 In
0.5000 0.5000 0.7947 In


Er3Tm2In2, optimized geometry, DFT PBE; space-group type = No. 65; electronic total energy = -4.167 eV/atom; energy relative to the elements = -151 meV per atom
1.0
2.4720 -11.5381 0.0000
2.4720 11.5381 0.0000
0.0000 0.0000 3.4152
Er Tm In
3 2 2
direct
0.0000 0.0000 0.0000 Er
0.1456 0.8544 0.0000 Er
0.8544 0.1456 0.0000 Er
0.2859 0.7141 0.5000 Tm
0.7141 0.2859 0.5000 Tm
0.4285 0.5715 0.5000 In
0.5715 0.4285 0.5000 In


Er2Tm4In, optimized geometry, DFT PBE; space-group type = No. 43; electronic total energy = -4.289 eV/atom; energy relative to the elements = -39 meV per atom
1.0
0.0000 10.8014 3.8716
5.0392 0.0000 3.8716
5.0392 10.8014 0.0000
Er Tm In
4 8 2
direct
0.2016 0.7984 0.2733 Er
0.5233 0.9767 0.4516 Er
0.7984 0.2016 0.7267 Er
0.9767 0.5233 0.0484 Er
0.0641 0.7526 0.6698 Tm
0.1688 0.9872 0.9929 Tm
0.2571 0.3989 0.0812 Tm
0.3989 0.2571 0.2628 Tm
0.5802 0.7364 0.1859 Tm
0.7364 0.5802 0.4974 Tm
0.7526 0.0641 0.5136 Tm
0.9872 0.1688 0.8511 Tm
0.4230 0.4230 0.5770 In
0.6730 0.6730 0.8270 In


Er5Tm2In2, optimized geometry, DFT PBE; space-group type = No. 46; electronic total energy = -4.179 eV/atom; energy relative to the elements = -42 meV per atom
1.0
-10.5427 4.2555 2.9472
10.5427 -4.2555 2.9472
10.5427 4.2555 -2.9472
Er Tm In
10 4 4
direct
0.1545 0.8256 0.8289 Er
0.1663 0.1115 0.2777 Er
0.1663 0.3885 0.5548 Er
0.4406 0.6913 0.0489 Er
0.4406 0.8917 0.2493 Er
0.6424 0.1913 0.7507 Er
0.6424 0.3917 0.9511 Er
0.8337 0.6115 0.4452 Er
0.8337 0.8885 0.7223 Er
0.9966 0.3256 0.1711 Er
0.4571 0.3862 0.5709 Tm
0.6277 0.1277 0.5000 Tm
0.6277 0.6277 0.0000 Tm
0.8153 0.8862 0.4291 Tm
0.2831 0.0959 0.1027 In
0.2831 0.6804 0.6872 In
0.9932 0.1804 0.8973 In
0.9932 0.5959 0.3128 In


ErTmIn, optimized geometry, DFT PBE; space-group type = No. 44; electronic total energy = -4.164 eV/atom; energy relative to the elements = -239 meV per atom
1.0
-1.7536 2.2579 5.1346
1.7536 -2.2579 5.1346
1.7536 2.2579 -5.1346
Er Tm In
1 1 1
direct
0.0000 0.0000 0.0000 Er
0.6857 0.6857 0.0000 Tm
0.3420 0.3420 0.0000 In